w.
Compound: AcSnIr
Source: Alexandria
Functional: PBE
Structure: relaxed

Summary:
Total magnetization ... 0.00 μB/f.u.
V ... 25.60 A^3/atom
Density ... 11.6 g cm⁻³

```
6
Lattice="-0.7438 -3.8316 0.2685 5.5145 1.1541 3.2424 -3.3256 1.0166 5.2941" Properties=species:S:1:pos:R:3 pbc="T T T"
Sn 3.2942 -0.3569 4.0324
Sn -1.8491 -1.3040 4.7727
Ac 0.8774 0.2631 6.1844
Ac 0.5677 -1.9240 2.6207
Ir 0.0000 0.0000 0.0000
Ir -1.6628 0.5083 2.6471
```


x.
Compound: AcSnIr
Source: Alexandria
Functional: PBE
Structure: relaxed

Summary:
Total magnetization ... 0.00 μB/f.u.
V ... 25.04 A^3/atom
Density ... 11.9 g cm⁻³

```
3
Lattice="3.5281 0.0000 0.0000 0.0000 3.5281 0.0000 -1.7641 -1.7641 6.0356" Properties=species:S:1:pos:R:3 pbc="T T T"
Ir 1.7640 1.7640 2.2300
Ac 0.0000 0.0000 0.2066
Sn 0.0000 0.0000 3.5990
```


y.
Compound: AcSnIr
Source: Alexandria
Functional: PBE
Structure: relaxed

Summary:
Total magnetization ... 0.00 μB/f.u.
V ... 25.00 A^3/atom
Density ... 11.9 g cm⁻³

```
18
Lattice="-4.1653 1.2713 1.1751 -2.6713 -6.9303 -1.9707 2.0796 -4.3337 12.0605" Properties=species:S:1:pos:R:3 pbc="T T T"
Sn -2.3949 -2.4429 7.1403
Sn -1.2569 -3.0875 11.8716
Sn -3.1808 -6.9271 9.2062
Sn -3.5000 -6.9052 -0.6067
Sn -2.3620 -7.5498 4.1246
Sn -1.5761 -3.0656 2.0587
Ac -1.0011 -5.6482 6.8914
Ac -2.5929 -0.5055 4.3421
Ac -2.1640 -9.4872 6.9228
Ac -3.7559 -4.3445 4.3735
Ac -4.6842 -3.8871 0.5880
Ac -0.0728 -6.1056 10.6769
Ir -0.7597 -3.0889 4.9780
Ir -3.5209 -0.9942 1.5815
Ir -1.2360 -8.9985 9.6834
Ir -2.2786 -4.2034 9.4573
Ir -2.4783 -5.7893 1.8076
Ir -3.9972 -6.9038 6.2869
```


z.
Compound: AcSnIr
Source: Alexandria
Functional: PBE
Structure: relaxed

Summary:
Total magnetization ... 0.00 μB/f.u.
V ... 27.06 A^3/atom
Density ... 11.0 g cm⁻³

```
3
Lattice="4.3390 0.0000 0.0000 0.0000 4.6479 0.0000 0.0000 -2.3239 4.0252" Properties=species:S:1:pos:R:3 pbc="T T T"
Ac 2.8926 0.0000 2.6835
Ir 0.7230 2.3239 1.3417
Sn 0.7233 0.0000 0.0000
```


Most stable structure among those shown: y.